1.
# Cs2TlTeS GGA-PBE relaxed
data_Cs2TlTeS
_space_group_name_H-M_alt 'P 1'
_space_group_IT_number 1
_space_group_name_Hall 'P 1'
_cell_length_a 6.779
_cell_length_b 6.779
_cell_length_c 5.338
_cell_angle_alpha 90.00
_cell_angle_beta 90.00
_cell_angle_gamma 90.00
loop_
_atom_site_label
_atom_site_type_symbol
_atom_site_fract_x
_atom_site_fract_y
_atom_site_fract_z
_atom_site_occupancy
Cs1 Cs 0.000 0.500 0.000 1
Cs2 Cs 0.500 0.000 0.000 1
Tl1 Tl 0.000 0.000 0.500 1
Te1 Te 0.500 0.500 0.500 1
S1 S 0.000 0.000 0.000 1
# raw formation energy: -0.60 eV/atom
# relative energy among the computed polymorphs: 201.1 meV/atom
# symmetry: P4/mmm, No. 123

---

2.
# Cs2TlTeS4 GGA-PBE relaxed
data_Cs2TlTeS4
_space_group_name_H-M_alt 'P 1'
_space_group_IT_number 1
_space_group_name_Hall 'P 1'
_cell_length_a 14.321
_cell_length_b 12.644
_cell_length_c 8.275
_cell_angle_alpha 83.62
_cell_angle_beta 61.33
_cell_angle_gamma 35.05
loop_
_atom_site_label
_atom_site_type_symbol
_atom_site_fract_x
_atom_site_fract_y
_atom_site_fract_z
_atom_site_occupancy
Cs1 Cs 0.056 0.056 0.694 1
Cs2 Cs 0.306 0.306 0.944 1
Cs3 Cs 0.694 0.694 0.056 1
Cs4 Cs 0.944 0.944 0.306 1
Tl1 Tl 0.125 0.125 0.125 1
Tl2 Tl 0.875 0.875 0.875 1
Te1 Te 0.375 0.375 0.375 1
Te2 Te 0.625 0.625 0.625 1
S1 S 0.007 0.355 0.451 1
S2 S 0.313 0.549 0.645 1
S3 S 0.355 0.007 0.687 1
S4 S 0.451 0.687 0.007 1
S5 S 0.549 0.313 0.993 1
S6 S 0.645 0.993 0.313 1
S7 S 0.687 0.451 0.355 1
S8 S 0.993 0.645 0.549 1
# raw formation energy: -0.39 eV/atom
# symmetry: Fddd, No. 70

---

3.
# Cs2TlTeS GGA-PBE relaxed
data_Cs2TlTeS
_space_group_name_H-M_alt 'P 1'
_space_group_IT_number 1
_space_group_name_Hall 'P 1'
_cell_length_a 8.160
_cell_length_b 5.677
_cell_length_c 9.777
_cell_angle_alpha 90.00
_cell_angle_beta 102.29
_cell_angle_gamma 90.00
loop_
_atom_site_label
_atom_site_type_symbol
_atom_site_fract_x
_atom_site_fract_y
_atom_site_fract_z
_atom_site_occupancy
Cs1 Cs 0.116 0.250 0.368 1
Cs2 Cs 0.248 0.250 0.974 1
Cs3 Cs 0.752 0.750 0.026 1
Cs4 Cs 0.884 0.750 0.632 1
Tl1 Tl 0.469 0.750 0.333 1
Tl2 Tl 0.531 0.250 0.667 1
Te1 Te 0.385 0.750 0.654 1
Te2 Te 0.615 0.250 0.346 1
S1 S 0.174 0.750 0.172 1
S2 S 0.826 0.250 0.828 1
# raw formation energy: -0.80 eV/atom
# relative energy among the computed polymorphs: 0.0 meV/atom
# symmetry: P2_1/m, No. 11

---

4.
# CsTmTeS GGA-PBE relaxed
data_CsTmTeS
_space_group_name_H-M_alt 'P 1'
_space_group_IT_number 1
_space_group_name_Hall 'P 1'
_cell_length_a 4.243
_cell_length_b 4.243
_cell_length_c 25.897
_cell_angle_alpha 90.00
_cell_angle_beta 90.00
_cell_angle_gamma 120.00
loop_
_atom_site_label
_atom_site_type_symbol
_atom_site_fract_x
_atom_site_fract_y
_atom_site_fract_z
_atom_site_occupancy
Cs1 Cs 0.000 0.000 0.000 1
Cs2 Cs 0.333 0.667 0.667 1
Cs3 Cs 0.667 0.333 0.333 1
Tm1 Tm 0.000 0.000 0.155 1
Tm2 Tm 0.333 0.667 0.822 1
Tm3 Tm 0.667 0.333 0.489 1
Te1 Te 0.000 0.000 0.559 1
Te2 Te 0.333 0.667 0.226 1
Te3 Te 0.667 0.333 0.892 1
S1 S 0.000 0.000 0.771 1
S2 S 0.333 0.667 0.437 1
S3 S 0.667 0.333 0.104 1
# raw formation energy: -1.54 eV/atom
# symmetry: R3m, No. 160

---

5.
# Cs2UTe2S6 GGA-PBE relaxed
data_Cs2UTe2S6
_space_group_name_H-M_alt 'P 1'
_space_group_IT_number 1
_space_group_name_Hall 'P 1'
_cell_length_a 8.611
_cell_length_b 8.611
_cell_length_c 8.611
_cell_angle_alpha 54.30
_cell_angle_beta 54.30
_cell_angle_gamma 54.30
loop_
_atom_site_label
_atom_site_type_symbol
_atom_site_fract_x
_atom_site_fract_y
_atom_site_fract_z
_atom_site_occupancy
Cs1 Cs 0.217 0.217 0.217 1
Cs2 Cs 0.783 0.783 0.783 1
U1 U 0.000 0.000 0.000 1
Te1 Te 0.397 0.397 0.397 1
Te2 Te 0.603 0.603 0.603 1
S1 S 0.217 0.779 0.779 1
S2 S 0.221 0.221 0.783 1
S3 S 0.221 0.783 0.221 1
S4 S 0.779 0.217 0.779 1
S5 S 0.779 0.779 0.217 1
S6 S 0.783 0.221 0.221 1
# raw formation energy: -0.71 eV/atom
# symmetry: R-3m, No. 166

---

6.
# CsYTeS GGA-PBE relaxed
data_CsYTeS
_space_group_name_H-M_alt 'P 1'
_space_group_IT_number 1
_space_group_name_Hall 'P 1'
_cell_length_a 4.294
_cell_length_b 4.294
_cell_length_c 25.971
_cell_angle_alpha 90.00
_cell_angle_beta 90.00
_cell_angle_gamma 120.00
loop_
_atom_site_label
_atom_site_type_symbol
_atom_site_fract_x
_atom_site_fract_y
_atom_site_fract_z
_atom_site_occupancy
Cs1 Cs 0.000 0.000 0.000 1
Cs2 Cs 0.333 0.667 0.667 1
Cs3 Cs 0.667 0.333 0.333 1
Y1 Y 0.000 0.000 0.156 1
Y2 Y 0.333 0.667 0.822 1
Y3 Y 0.667 0.333 0.489 1
Te1 Te 0.000 0.000 0.560 1
Te2 Te 0.333 0.667 0.227 1
Te3 Te 0.667 0.333 0.893 1
S1 S 0.000 0.000 0.770 1
S2 S 0.333 0.667 0.437 1
S3 S 0.667 0.333 0.103 1
# raw formation energy: -1.57 eV/atom
# symmetry: R3m, No. 160

---

7.
# Cs2ZnTeS GGA-PBE relaxed
data_Cs2ZnTeS
_space_group_name_H-M_alt 'P 1'
_space_group_IT_number 1
_space_group_name_Hall 'P 1'
_cell_length_a 8.497
_cell_length_b 4.524
_cell_length_c 11.663
_cell_angle_alpha 90.00
_cell_angle_beta 109.41
_cell_angle_gamma 90.00
loop_
_atom_site_label
_atom_site_type_symbol
_atom_site_fract_x
_atom_site_fract_y
_atom_site_fract_z
_atom_site_occupancy
Cs1 Cs 0.183 0.250 0.392 1
Cs2 Cs 0.217 0.250 0.962 1
Cs3 Cs 0.783 0.750 0.038 1
Cs4 Cs 0.817 0.750 0.608 1
Zn1 Zn 0.483 0.750 0.254 1
Zn2 Zn 0.517 0.250 0.746 1
Te1 Te 0.334 0.750 0.702 1
Te2 Te 0.666 0.250 0.298 1
S1 S 0.207 0.750 0.181 1
S2 S 0.793 0.250 0.819 1
# raw formation energy: -0.94 eV/atom
# symmetry: P2_1/m, No. 11

---

8.
# CsThS2 GGA-PBE relaxed
data_CsThS2
_space_group_name_H-M_alt 'P 1'
_space_group_IT_number 1
_space_group_name_Hall 'P 1'
_cell_length_a 4.134
_cell_length_b 4.134
_cell_length_c 25.033
_cell_angle_alpha 90.00
_cell_angle_beta 90.00
_cell_angle_gamma 120.00
loop_
_atom_site_label
_atom_site_type_symbol
_atom_site_fract_x
_atom_site_fract_y
_atom_site_fract_z
_atom_site_occupancy
Cs1 Cs 0.000 0.000 0.000 1
Cs2 Cs 0.333 0.667 0.667 1
Cs3 Cs 0.667 0.333 0.333 1
Th1 Th 0.000 0.000 0.172 1
Th2 Th 0.333 0.667 0.839 1
Th3 Th 0.667 0.333 0.506 1
S1 S 0.000 0.000 0.569 1
S2 S 0.000 0.000 0.775 1
S3 S 0.333 0.667 0.236 1
S4 S 0.333 0.667 0.442 1
S5 S 0.667 0.333 0.108 1
S6 S 0.667 0.333 0.902 1
# raw formation energy: -1.62 eV/atom
# symmetry: R3m, No. 160

---

9.
# CsThS3 GGA-PBE relaxed
data_CsThS3
_space_group_name_H-M_alt 'P 1'
_space_group_IT_number 1
_space_group_name_Hall 'P 1'
_cell_length_a 5.304
_cell_length_b 5.554
_cell_length_c 12.525
_cell_angle_alpha 90.00
_cell_angle_beta 99.36
_cell_angle_gamma 90.00
loop_
_atom_site_label
_atom_site_type_symbol
_atom_site_fract_x
_atom_site_fract_y
_atom_site_fract_z
_atom_site_occupancy
Cs1 Cs 0.158 0.250 0.358 1
Cs2 Cs 0.842 0.750 0.642 1
Th1 Th 0.490 0.250 0.869 1
Th2 Th 0.510 0.750 0.131 1
S1 S 0.031 0.750 0.187 1
S2 S 0.305 0.250 0.653 1
S3 S 0.487 0.250 0.094 1
S4 S 0.513 0.750 0.906 1
S5 S 0.695 0.750 0.347 1
S6 S 0.969 0.250 0.813 1
# raw formation energy: -1.40 eV/atom
# relative energy among the computed polymorphs: 179.9 meV/atom
# symmetry: P2_1/m, No. 11

---

10.
# Cs4ThS4 GGA-PBE relaxed
data_Cs4ThS4
_space_group_name_H-M_alt 'P 1'
_space_group_IT_number 1
_space_group_name_Hall 'P 1'
_cell_length_a 8.470
_cell_length_b 8.470
_cell_length_c 11.803
_cell_angle_alpha 120.59
_cell_angle_beta 120.59
_cell_angle_gamma 30.66
loop_
_atom_site_label
_atom_site_type_symbol
_atom_site_fract_x
_atom_site_fract_y
_atom_site_fract_z
_atom_site_occupancy
Cs1 Cs 0.117 0.117 0.400 1
Cs2 Cs 0.297 0.297 0.179 1
Cs3 Cs 0.703 0.703 0.821 1
Cs4 Cs 0.883 0.883 0.600 1
Th1 Th 0.500 0.500 0.000 1
S1 S 0.068 0.068 0.916 1
S2 S 0.328 0.328 0.753 1
S3 S 0.672 0.672 0.247 1
S4 S 0.932 0.932 0.084 1
# raw formation energy: -1.40 eV/atom
# symmetry: C2/m, No. 12

---

11.
# CsThS3 GGA-PBE relaxed
data_CsThS3
_space_group_name_H-M_alt 'P 1'
_space_group_IT_number 1
_space_group_name_Hall 'P 1'
_cell_length_a 9.204
_cell_length_b 9.204
_cell_length_c 10.585
_cell_angle_alpha 124.41
_cell_angle_beta 124.41
_cell_angle_gamma 26.91
loop_
_atom_site_label
_atom_site_type_symbol
_atom_site_fract_x
_atom_site_fract_y
_atom_site_fract_z
_atom_site_occupancy
Cs1 Cs 0.099 0.099 0.418 1
Cs2 Cs 0.901 0.901 0.582 1
Th1 Th 0.323 0.323 0.925 1
Th2 Th 0.677 0.677 0.075 1
S1 S 0.150 0.150 0.872 1
S2 S 0.236 0.236 0.279 1
S3 S 0.478 0.478 0.885 1
S4 S 0.522 0.522 0.115 1
S5 S 0.764 0.764 0.721 1
S6 S 0.850 0.850 0.128 1
# raw formation energy: -1.58 eV/atom
# relative energy among the computed polymorphs: 0.0 meV/atom
# symmetry: C2/m, No. 12

---

The highest raw formation energy belongs to which entry? Cs2TlTeS4

---

The highest raw formation energy belongs to which entry? Cs2TlTeS4

---

What is the formula in the eleventh record? CsThS3